Record 1
First-principles (PBE-GGA) data for crystalline TlZn2Rh2 at its relaxed geometry, as listed in Alexandria via LeMat-Bulk.

a = 7.252 Å, b = 7.252 Å, c = 3.026 Å
α = 90.00°, β = 90.00°, γ = 90.00°
Positions (direct):
Tl: 0.000 0.000 0.000
Tl: 0.500 0.500 0.000
Zn: 0.124 0.376 0.000
Zn: 0.376 0.876 0.000
Zn: 0.624 0.124 0.000
Zn: 0.876 0.624 0.000
Rh: 0.170 0.670 0.500
Rh: 0.330 0.170 0.500
Rh: 0.670 0.830 0.500
Rh: 0.830 0.330 0.500

Results
* DFT formation energy: -0.1135 eV per atom
* offset from the most stable computed form: 0.25 eV per formula unit

=====

Record 2
First-principles (PBE-GGA) data for crystalline ZnCd2AuO4 at its relaxed geometry, as listed in Alexandria via LeMat-Bulk.

a = 5.505 Å, b = 5.505 Å, c = 7.945 Å
α = 90.00°, β = 90.00°, γ = 90.00°
Positions (direct):
Zn: 0.000 0.000 0.000
Zn: 0.500 0.500 0.500
Cd: 0.000 0.000 0.500
Cd: 0.000 0.500 0.750
Cd: 0.500 0.000 0.250
Cd: 0.500 0.500 0.000
Au: 0.000 0.500 0.250
Au: 0.500 0.000 0.750
O: 0.227 0.233 0.882
O: 0.233 0.773 0.118
O: 0.267 0.727 0.618
O: 0.273 0.267 0.382
O: 0.727 0.733 0.382
O: 0.733 0.273 0.618
O: 0.767 0.227 0.118
O: 0.773 0.767 0.882

Results
* uncorrected formation energy: -0.6356 eV/atom

=====

| no. | M_tot (μB/f.u.) |
| --- | --- |
| 1 | 0.00 |
| 2 | 0.94 |